MgPa2Co2N6 | PBE | optimized geometry

Geometry as extended XYZ:
```
11
Lattice="-4.2936 -2.6240 -1.6068 0.4784 -4.8456 -2.0479 -1.8236 -4.6776 3.8294" Properties=species:S:1:pos:R:3 pbc="T T T"
Mg 0.0000 0.0000 0.0000
Pa -4.1670 -8.8643 -0.4368
Pa -1.4718 -3.2829 0.6115
Co -2.9929 -6.7611 1.6736
Co -2.6460 -5.3861 -1.4989
N -3.3800 -6.9478 -1.5748
N -1.1114 -5.5613 -0.7258
N -3.6328 -4.3875 -0.4927
N -2.0060 -7.7597 0.6674
N -4.5274 -6.5859 0.9005
N -2.2588 -5.1994 1.7494
```

MgPa2CoN5 | PBE | optimized geometry

Geometry as extended XYZ:
```
18
Lattice="3.3528 0.0000 0.0000 -1.6764 6.5064 0.0000 0.0000 0.0000 9.6430" Properties=species:S:1:pos:R:3 pbc="T T T"
Mg 1.6764 3.8702 4.8517
Mg 0.0000 2.6361 0.0302
Pa 1.6764 4.6230 7.7216
Pa 0.0000 1.4127 6.6404
Pa 0.0000 1.8834 2.9001
Pa 1.6764 5.0937 1.8189
Co 1.6764 0.3369 9.2574
Co 0.0000 6.1695 4.4359
N 0.0000 4.8104 0.0361
N 1.6764 2.2473 8.3054
N 0.0000 6.2927 7.4766
N 0.0000 3.6648 6.5127
N 1.6764 5.9070 5.3587
N 1.6764 1.6960 4.8576
N 0.0000 4.2591 3.4839
N 1.6764 0.2137 2.6551
N 1.6764 2.8416 1.6912
N 0.0000 0.5994 0.5372
```

MgPaCoN3 | PBE | optimized geometry

Geometry as extended XYZ:
```
12
Lattice="3.2207 0.0000 0.0000 0.0000 6.6314 0.1550 0.0000 -1.6142 6.9997" Properties=species:S:1:pos:R:3 pbc="T T T"
Mg 0.8052 4.0678 1.1423
Mg 2.4155 0.9494 6.0124
Pa 0.8052 0.9003 1.4578
Pa 2.4155 4.1169 5.6969
Co 0.8052 -0.2293 4.1487
Co 2.4155 5.2466 3.0060
N 2.4155 5.7789 1.0734
N 0.8052 -0.7617 6.0814
N 0.8052 4.5671 3.7318
N 2.4155 0.4501 3.4229
N 2.4155 2.4589 1.1723
N 0.8052 2.5583 5.9824
```

Mg2CoPdN | PBE | optimized geometry

Geometry as extended XYZ:
```
5
Lattice="4.3919 0.0000 0.0000 0.0000 4.3919 0.0000 0.0000 0.0000 3.5158" Properties=species:S:1:pos:R:3 pbc="T T T"
Mg 0.0000 2.1959 0.0000
Mg 2.1959 0.0000 0.0000
Co 0.0000 0.0000 1.7579
Pd 2.1959 2.1959 1.7579
N 0.0000 0.0000 0.0000
```

Pu2Mg3CoN6 | PBE | optimized geometry

Geometry as extended XYZ:
```
12
Lattice="3.2991 0.0000 0.0000 0.0000 6.3385 0.1886 -1.6496 -1.8673 6.5642" Properties=species:S:1:pos:R:3 pbc="T T T"
Pu 1.6496 3.1046 4.6191
Pu 0.0000 1.3666 2.1337
Mg 1.6496 3.1693 0.0943
Mg 1.6496 -0.1807 4.4788
Mg 0.0000 4.6519 2.2740
Co 1.6496 0.0000 0.0000
N 0.0000 4.6010 4.6487
N 1.6496 3.0230 2.3189
N 1.6496 -0.1298 2.1041
N 1.6496 -0.4099 6.5976
N 0.0000 4.8811 0.1552
N 0.0000 1.4482 4.4338
```

Mg2CoReN | PBE | optimized geometry

Geometry as extended XYZ:
```
5
Lattice="4.6341 0.0000 0.0000 0.0000 4.3122 0.0000 0.0000 0.0000 4.6341" Properties=species:S:1:pos:R:3 pbc="T T T"
Re 0.0000 2.1561 0.0000
Mg 0.0000 0.0000 2.3171
Mg 2.3171 0.0000 0.0000
Co 0.0000 0.0000 0.0000
N 2.3171 2.1561 2.3171
```

no.,ΔE_f (raw) (eV per atom)
1,-0.367
2,-0.953
3,-0.787
4,-0.422
5,-0.735
6,1.613